Entry 1:
DFT (PBE) results for a relaxed CaHgRh crystal.

a = 4.4868 Å, b = 4.4868 Å, c = 6.8844 Å
α = 90.00°, β = 90.00°, γ = 90.00°
Last column: nearest neighbours and their distance in Å.
Space group P4/nmm (No. 129, origin choice 2)
Inequivalent atoms, fractional coordinates:
Ca 0.2500 0.2500 0.2136 x2  4 Rh 2.99, 5 Hg 3.19-3.23
Hg 0.2500 0.2500 0.7440 x2  4 Rh 2.80
Rh 0.2500 0.7500 0.5000 x2  4 Hg 2.80, 4 Ca 2.99

Summary:
Formation energy from the elements (eV per atom): -0.34
Crystal system: tetragonal

***

Entry 2:
DFT (PBE) results for a relaxed ZnCu2Tc crystal.

a = 2.6604 Å, b = 2.6604 Å, c = 26.0969 Å
α = 90.00°, β = 90.00°, γ = 120.00°
Last column: nearest neighbours and their distance in Å.
Space group R-3m (No. 166, hexagonal axes)
Inequivalent atoms, fractional coordinates:
Zn 0.0000 0.0000 0.0000 x3  6 Cu 2.64, 6 Zn 2.66
Cu 0.0000 0.0000 0.2510 x6  3 Zn 2.64, 6 Cu 2.66, 3 Tc 2.68
Tc 0.0000 0.0000 0.5000 x3  6 Tc 2.66, 6 Cu 2.68

Summary:
Formation energy from the elements (eV per atom): 0.12
Crystal system: trigonal

***

Entry 3:
DFT (PBE) results for a relaxed VReOs crystal.

a = 4.2789 Å, b = 4.2789 Å, c = 2.7059 Å
α = 90.00°, β = 90.00°, γ = 120.00°
Last column: nearest neighbours and their distance in Å.
Space group P3m1 (No. 156)
Inequivalent atoms, fractional coordinates:
V 0.0000 0.0000 0.0000 x1  3 Re 2.57, 3 Os 2.62, 2 V 2.71
Re 0.3333 0.6667 0.2595 x1  3 V 2.57, 2 Re 2.71, 3 Os 2.72
Os 0.6667 0.3333 0.6820 x1  3 V 2.62, 2 Os 2.71, 6 Re 2.72-2.92

Summary:
Formation energy from the elements (eV per atom): -0.01
Crystal system: trigonal
E above lowest polymorph (meV per atom): 12

***

Entry 4:
DFT (PBE) results for a relaxed LaWS2 crystal.

a = 3.5455 Å, b = 3.5455 Å, c = 25.7377 Å
α = 90.00°, β = 90.00°, γ = 120.00°
Last column: nearest neighbours and their distance in Å.
Space group R-3m (No. 166, hexagonal axes)
Inequivalent atoms, fractional coordinates:
La 0.0000 0.0000 0.0000 x3  6 S 2.87
W 0.0000 0.0000 0.5000 x3  2 S 2.28
S 0.0000 0.0000 0.4114 x6  1 W 2.28

Summary:
Crystal system: trigonal
E above lowest polymorph (meV per atom): 458
Uncorrected formation energy (meV/atom): -161

***

Entry 5:
DFT (PBE) results for a relaxed NpCr2 crystal.

a = 7.0721 Å, b = 7.0721 Å, c = 7.0721 Å
α = 90.00°, β = 90.00°, γ = 90.00°
Last column: nearest neighbours and their distance in Å.
Space group Fd-3m (No. 227, origin choice 2)
Inequivalent atoms, fractional coordinates:
Np 0.1250 0.1250 0.1250 x8  12 Cr 2.93, 4 Np 3.06
Cr 0.0000 0.0000 0.5000 x16  6 Cr 2.50

Summary:
Formation energy from the elements (eV per atom): 0.39
Crystal system: cubic

***

Entry 6:
DFT (PBE) results for a relaxed Ag5AuCl8 crystal.

a = 11.1490 Å, b = 11.1490 Å, c = 11.1490 Å
α = 90.00°, β = 90.00°, γ = 90.00°
Last column: nearest neighbours and their distance in Å.
Space group F-43m (No. 216)
Inequivalent atoms, fractional coordinates:
Ag 0.0000 0.0000 0.0000 x4  4 Cl 2.55
Ag 0.1250 0.1250 0.6250 x16  6 Cl 2.71-2.73
Au 0.2500 0.2500 0.2500 x4  4 Cl 2.52
Cl 0.1195 0.1195 0.3805 x16  1 Au 2.52, 3 Ag 2.73
Cl 0.1321 0.1321 0.8679 x16  4 Ag 2.55-2.71

Summary:
Crystal system: cubic
E above lowest polymorph (meV per atom): 10
Uncorrected formation energy (meV/atom): -336

***

Entry 7:
DFT (PBE) results for a relaxed CeDyAl2Ga2 crystal.

a = 4.4559 Å, b = 4.4559 Å, c = 7.4076 Å
α = 90.00°, β = 90.00°, γ = 120.00°
Last column: nearest neighbours and their distance in Å.
Space group P-3m1 (No. 164)
Inequivalent atoms, fractional coordinates:
Ce 0.0000 0.0000 0.0000 x1  6 Al 3.19, 6 Ga 3.21
Dy 0.0000 0.0000 0.5000 x1  6 Ga 3.13, 6 Al 3.15
Al 0.3333 0.6667 0.7444 x2  3 Ga 2.57
Ga 0.3333 0.6667 0.2602 x2  3 Al 2.57

Summary:
Formation energy from the elements (eV per atom): -0.53
Crystal system: trigonal

***

Entry 8:
DFT (PBE) results for a relaxed TmTiGaIr crystal.

a = 6.6120 Å, b = 6.6120 Å, c = 6.6120 Å
α = 90.00°, β = 90.00°, γ = 90.00°
Last column: nearest neighbours and their distance in Å.
Space group F-43m (No. 216)
Inequivalent atoms, fractional coordinates:
Tm 0.0000 0.0000 0.0000 x4  4 Ga 2.86, 4 Ir 2.86
Ti 0.0000 0.0000 0.5000 x4  4 Ir 2.86, 4 Ga 2.86
Ga 0.2500 0.2500 0.7500 x4  4 Ti 2.86, 4 Tm 2.86
Ir 0.2500 0.2500 0.2500 x4  4 Tm 2.86, 4 Ti 2.86

Summary:
Formation energy from the elements (eV per atom): -0.52
Crystal system: cubic

***

no.,DOS at the Fermi energy (states/eV/f.u.),total magnetization (μB/atom)
1,2.2,0.0000
2,3.9,0.1169
3,3.5,0.0000
4,4.8,0.0000
5,5.9,0.4853
6,19.6,0.0000
7,6.5,0.0865
8,3.4,0.0016